VASP calculation (PBE+U) on a relaxed FeOsO4 crystal.

Its total magnetic moment is 3.9 μB/f.u. As for the density of states at the Fermi level: 2.9 states/eV/f.u. Its total energy is -174.67 eV/cell.

It has space group I4_1md (No. 109), with a = 6.5180 Å, b = 6.5180 Å, c = 6.1719 Å, α = 90.00°, β = 90.00° and γ = 90.00°. The inequivalent atoms are Fe at (0.0000, 0.0000, 0.0000), Os at (0.0000, 0.0000, 0.5116), O at (0.0000, 0.2999, 0.5188) and O at (0.0000, 0.3020, 0.9991).



VASP calculation (PBE+U) on a relaxed FeOsO3 crystal.

Its total magnetic moment is 3.3 μB/f.u. As for the density of states at the Fermi level: 3.6 states/eV/f.u. Its total energy is -33.87 eV/cell.

It has space group Pm-3m (No. 221), with a = 3.8475 Å, b = 3.8475 Å, c = 3.8475 Å, α = 90.00°, β = 90.00° and γ = 90.00°. The inequivalent atoms are Fe at (0.0000, 0.0000, 0.0000), Os at (0.5000, 0.5000, 0.5000) and O at (0.0000, 0.5000, 0.5000).



VASP calculation (PBE+U) on a relaxed Fe2OsO crystal.

Its total magnetic moment is 7.2 μB/f.u. As for the density of states at the Fermi level: 3.9 states/eV/f.u. Its total energy is -103.41 eV/cell.

It has space group I-42d (No. 122), with a = 5.8407 Å, b = 5.8407 Å, c = 6.7743 Å, α = 90.00°, β = 90.00° and γ = 90.00°. The inequivalent atoms are Fe at (0.1710, 0.2500, 0.1250), Os at (0.0000, 0.0000, 0.5000) and O at (0.0000, 0.0000, 0.0000).



VASP calculation (PBE+U) on a relaxed FeOsO2 crystal.

Its total magnetic moment is 4.3 μB/f.u. As for the density of states at the Fermi level: 2.5 states/eV/f.u. As for the distance to the lowest polymorph of the same formula: 242.3 meV per atom.

It has space group I-42d (No. 122), with a = 4.7476 Å, b = 4.7476 Å, c = 8.9837 Å, α = 90.00°, β = 90.00° and γ = 90.00°. The inequivalent atoms are Fe at (0.0000, 0.0000, 0.0000), Os at (0.0000, 0.0000, 0.5000) and O at (0.2275, 0.2500, 0.1250).



VASP calculation (PBE+U) on a relaxed FeOs2O6 crystal.

Its total magnetic moment is 3.9 μB/f.u. As for the density of states at the Fermi level: 5.3 states/eV/f.u. Its total energy is -201.61 eV/cell.

It has space group P321 (No. 150), with a = 8.6593 Å, b = 8.6593 Å, c = 4.4390 Å, α = 90.00°, β = 90.00° and γ = 120.00°. The inequivalent atoms are Fe at (0.0000, 0.0000, 0.0000), Fe at (0.3333, 0.6667, 0.4969), Os at (0.0000, 0.3428, 0.0000), Os at (0.0000, 0.6756, 0.5000), O at (0.1058, 0.5591, 0.2515), O at (0.1124, 0.2282, 0.2391) and O at (0.2121, 0.4383, 0.7407).



VASP calculation (PBE+U) on a relaxed FeP2OsO crystal.

Its total magnetic moment is 3.0 μB/f.u. As for the density of states at the Fermi level: 4.9 states/eV/f.u. As for the distance to the lowest polymorph of the same formula: 0.0 meV per atom.

It has space group P4/mmm (No. 123), with a = 4.7879 Å, b = 4.7879 Å, c = 3.6629 Å, α = 90.00°, β = 90.00° and γ = 90.00°. The inequivalent atoms are Fe at (0.0000, 0.0000, 0.0000), P at (0.0000, 0.5000, 0.5000), Os at (0.5000, 0.5000, 0.5000) and O at (0.5000, 0.5000, 0.0000).



VASP calculation (PBE+U) on a relaxed FeP2OsO crystal.

Its total magnetic moment is 0.0 μB/f.u. As for the density of states at the Fermi level: 2.9 states/eV/f.u. As for the distance to the lowest polymorph of the same formula: 506.2 meV per atom.

It has space group P4/mmm (No. 123), with a = 4.5324 Å, b = 4.5324 Å, c = 3.2318 Å, α = 90.00°, β = 90.00° and γ = 90.00°. The inequivalent atoms are Fe at (0.0000, 0.0000, 0.0000), P at (0.0000, 0.5000, 0.0000), Os at (0.5000, 0.5000, 0.5000) and O at (0.0000, 0.0000, 0.5000).



VASP calculation (PBE+U) on a relaxed PaFeOsO6 crystal.

Its total magnetic moment is 4.9 μB/f.u. As for the density of states at the Fermi level: 4.8 states/eV/f.u. Its total energy is -147.06 eV/cell.

It has space group P-31c (No. 163), with a = 5.3067 Å, b = 5.3067 Å, c = 9.0478 Å, α = 90.00°, β = 90.00° and γ = 120.00°. The inequivalent atoms are Pa at (0.3333, 0.6667, 0.2500), Fe at (0.0000, 0.0000, 0.0000), Os at (0.3333, 0.6667, 0.7500) and O at (0.0278, 0.3424, 0.6253).



VASP calculation (PBE+U) on a relaxed FeOs2PbO8 crystal.

Its total magnetic moment is 0.0 μB/f.u. As for the density of states at the Fermi level: 1.4 states/eV/f.u. Its total energy is -82.59 eV/cell.

It has space group P-3 (No. 147), with a = 5.8750 Å, b = 5.8750 Å, c = 6.8511 Å, α = 90.00°, β = 90.00° and γ = 120.00°. The inequivalent atoms are Fe at (0.0000, 0.0000, 0.0000), Os at (0.3333, 0.6667, 0.2577), Pb at (0.0000, 0.0000, 0.5000), O at (0.1583, 0.3186, 0.1984) and O at (0.3333, 0.6667, 0.5187).



VASP calculation (PBE+U) on a relaxed FeOsPb2O6 crystal.

Its total magnetic moment is 7.0 μB/f.u. As for the density of states at the Fermi level: 5.4 states/eV/f.u. Its total energy is -130.29 eV/cell.

It has space group P2_1/c (No. 14), with a = 5.6953 Å, b = 5.6564 Å, c = 9.7966 Å, α = 90.00°, β = 125.52° and γ = 90.00°. The inequivalent atoms are Fe at (0.0000, 0.0000, 0.0000), Os at (0.5000, 0.0000, 0.5000), Pb at (0.2558, 0.0081, 0.7498), O at (0.2015, 0.0027, 0.2544), O at (0.2716, 0.7332, 0.0292) and O at (0.2966, 0.2420, 0.0293).



VASP calculation (PBE+U) on a relaxed Pm2FeOsO8 crystal.

Its total magnetic moment is 4.0 μB/f.u. As for the density of states at the Fermi level: 1.0 states/eV/f.u. Its total energy is -89.99 eV/cell.

It has space group P-1 (No. 2), with a = 4.6018 Å, b = 5.0559 Å, c = 6.9718 Å, α = 91.78°, β = 90.81° and γ = 95.02°. The inequivalent atoms are Pm at (0.0968, 0.0254, 0.2478), Fe at (0.5000, 0.5000, 0.0000), Os at (0.5000, 0.5000, 0.5000), O at (0.1807, 0.2650, 0.5401), O at (0.2123, 0.2206, 0.9680), O at (0.3189, 0.6242, 0.2679) and O at (0.3635, 0.7555, 0.6859).



VASP calculation (PBE+U) on a relaxed PuFeOsO6 crystal.

Its total magnetic moment is 4.9 μB/f.u. As for the density of states at the Fermi level: 10.0 states/eV/f.u. Its total energy is -148.55 eV/cell.

It has space group P-31c (No. 163), with a = 5.1689 Å, b = 5.1689 Å, c = 9.0018 Å, α = 90.00°, β = 90.00° and γ = 120.00°. The inequivalent atoms are Pu at (0.3333, 0.6667, 0.2500), Fe at (0.3333, 0.6667, 0.7500), Os at (0.0000, 0.0000, 0.0000) and O at (0.0160, 0.3231, 0.6226).



VASP calculation (PBE+U) on a relaxed RbFeOs2O8 crystal.

Its total magnetic moment is 7.0 μB/f.u. As for the density of states at the Fermi level: 9.3 states/eV/f.u. Its total energy is -244.23 eV/cell.

It has space group R32 (No. 155, hexagonal axes), with a = 5.4431 Å, b = 5.4431 Å, c = 26.5447 Å, α = 90.00°, β = 90.00° and γ = 120.00°. The inequivalent atoms are Rb at (0.0000, 0.0000, 0.0000), Fe at (0.0000, 0.0000, 0.5000), Os at (0.0000, 0.0000, 0.2391), O at (0.0000, 0.0000, 0.3061) and O at (0.0035, 0.3913, 0.1159).



VASP calculation (PBE+U) on a relaxed Rb2FeOsO6 crystal.

Its total magnetic moment is 0.1 μB/f.u. As for the density of states at the Fermi level: 2.9 states/eV/f.u. Its total energy is -59.94 eV/cell.

It has space group P-3m1 (No. 164), with a = 6.1984 Å, b = 6.1984 Å, c = 5.0207 Å, α = 90.00°, β = 90.00° and γ = 120.00°. The inequivalent atoms are Rb at (0.3333, 0.6667, 0.2788), Fe at (0.0000, 0.0000, 0.5000), Os at (0.0000, 0.0000, 0.0000) and O at (0.1378, 0.2757, 0.7562).



VASP calculation (PBE+U) on a relaxed Sr2FeOsO8 crystal.

Its total magnetic moment is 4.9 μB/f.u. As for the density of states at the Fermi level: 4.7 states/eV/f.u. Its total energy is -78.24 eV/cell.

It has space group P-1 (No. 2), with a = 5.2226 Å, b = 5.7374 Å, c = 6.0889 Å, α = 105.48°, β = 100.95° and γ = 104.58°. The inequivalent atoms are Sr at (0.1240, 0.3824, 0.2525), Fe at (0.5000, 0.0000, 0.5000), Os at (0.5000, 0.0000, 0.0000), O at (0.1188, 0.0933, 0.5069), O at (0.2040, 0.0964, 0.9290), O at (0.3117, 0.7688, 0.1555) and O at (0.3832, 0.7397, 0.6645).



VASP calculation (PBE+U) on a relaxed Sr3Fe2OsO9 crystal.

Its total magnetic moment is 11.7 μB/f.u. As for the density of states at the Fermi level: 5.6 states/eV/f.u. Its total energy is -101.88 eV/cell.

It has space group P-3m1 (No. 164), with a = 5.6321 Å, b = 5.6321 Å, c = 6.9162 Å, α = 90.00°, β = 90.00° and γ = 120.00°. The inequivalent atoms are Sr at (0.0000, 0.0000, 0.0000), Sr at (0.3333, 0.6667, 0.6826), Fe at (0.3333, 0.6667, 0.1557), Os at (0.0000, 0.0000, 0.5000), O at (0.0000, 0.5000, 0.0000) and O at (0.1633, 0.3266, 0.3398).



VASP calculation (PBE+U) on a relaxed SrFeOs2O8 crystal.

Its total magnetic moment is 8.0 μB/f.u. Its total energy is -84.56 eV/cell.

It has space group P-3 (No. 147), with a = 5.8573 Å, b = 5.8573 Å, c = 6.8594 Å, α = 90.00°, β = 90.00° and γ = 120.00°. The inequivalent atoms are Sr at (0.0000, 0.0000, 0.0000), Fe at (0.0000, 0.0000, 0.5000), Os at (0.3333, 0.6667, 0.7615), O at (0.1573, 0.3185, 0.6997) and O at (0.3333, 0.6667, 0.0240).



VASP calculation (PBE+U) on a relaxed SrFe2OsO8 crystal.

Its total magnetic moment is 8.0 μB/f.u. As for the density of states at the Fermi level: 2.5 states/eV/f.u. Its total energy is -79.91 eV/cell.

It has space group P2/m (No. 10), with a = 4.6283 Å, b = 6.9750 Å, c = 4.6802 Å, α = 90.00°, β = 90.79° and γ = 90.00°. The inequivalent atoms are Sr at (0.0000, 0.0000, 0.0000), Fe at (0.5000, 0.2921, 0.5000), Os at (0.0000, 0.5000, 0.0000), O at (0.2097, 0.2995, 0.1957), O at (0.2837, 0.5000, 0.7029) and O at (0.3709, 0.0000, 0.5967).



VASP calculation (PBE+U) on a relaxed Ta2FeOsO crystal.

Its total magnetic moment is 0.0 μB/f.u. As for the density of states at the Fermi level: 3.9 states/eV/f.u. Its total energy is -40.90 eV/cell.

It has space group P4/mmm (No. 123), with a = 4.7877 Å, b = 4.7877 Å, c = 3.2923 Å, α = 90.00°, β = 90.00° and γ = 90.00°. The inequivalent atoms are Ta at (0.0000, 0.5000, 0.0000), Fe at (0.0000, 0.0000, 0.0000), Os at (0.5000, 0.5000, 0.5000) and O at (0.0000, 0.0000, 0.5000).



VASP calculation (PBE+U) on a relaxed Ti2FeOsO crystal.

Its total magnetic moment is 0.0 μB/f.u. As for the density of states at the Fermi level: 4.3 states/eV/f.u. Its total energy is -34.30 eV/cell.

It has space group P4/mmm (No. 123), with a = 4.6529 Å, b = 4.6529 Å, c = 3.3163 Å, α = 90.00°, β = 90.00° and γ = 90.00°. The inequivalent atoms are Ti at (0.0000, 0.5000, 0.0000), Fe at (0.0000, 0.0000, 0.0000), Os at (0.5000, 0.5000, 0.5000) and O at (0.0000, 0.0000, 0.5000).